PBE Pa4Bi3Te4, optimized geometry; ΔE_f (raw) = -0.51 eV/atom; uncorrected energy = -6.163 eV/atom
1.0
-2.065 4.527 8.933
2.065 -4.527 8.933
2.065 4.527 -8.933
Pa Bi Te
4 3 4
direct
0.218 0.000 0.218
0.241 0.241 0.000
0.759 0.759 0.000
0.782 0.000 0.782
0.097 0.597 0.500
0.500 0.500 0.000
0.903 0.403 0.500
0.144 0.833 0.311
0.478 0.167 0.311
0.522 0.833 0.689
0.856 0.167 0.689